Entry 1:
Below is a relaxed structure of LaHf2Rh2, with properties calculated at the GGA-PBEsol level.

Structure (POSCAR):
```
LaHf2Rh2
1.0
4.471 0.000 0.000
0.000 4.471 0.000
-2.236 -2.236 5.384
Rh Hf La
2 2 1
direct
0.378 0.378 0.755 Rh
0.622 0.622 0.245 Rh
0.250 0.750 0.500 Hf
0.750 0.250 0.500 Hf
0.000 0.000 0.000 La
```

The calculation puts the uncorrected energy at -9.175 eV/atom.


Entry 2:
Below is a relaxed structure of La2HfS5, with properties calculated at the GGA-PBEsol level.

Structure (POSCAR):
```
La2HfS5
1.0
-6.585 0.774 3.015
1.145 -6.868 4.265
4.547 5.971 8.395
La Hf S
8 4 20
direct
0.434 0.002 0.330 La
0.066 0.498 0.830 La
0.566 0.502 0.670 La
0.934 0.998 0.170 La
0.566 0.998 0.670 La
0.934 0.502 0.170 La
0.434 0.498 0.330 La
0.066 0.002 0.830 La
0.928 0.250 0.490 Hf
0.572 0.250 0.990 Hf
0.072 0.750 0.510 Hf
0.428 0.750 0.010 Hf
0.181 0.464 0.569 S
0.319 0.036 0.069 S
0.819 0.964 0.431 S
0.681 0.536 0.931 S
0.819 0.536 0.431 S
0.681 0.964 0.931 S
0.181 0.036 0.569 S
0.319 0.464 0.069 S
0.135 0.250 0.305 S
0.365 0.250 0.805 S
0.865 0.750 0.695 S
0.635 0.750 0.195 S
0.561 0.250 0.495 S
0.939 0.250 0.995 S
0.439 0.750 0.505 S
0.061 0.750 0.005 S
0.847 0.250 0.709 S
0.653 0.250 0.209 S
0.153 0.750 0.291 S
0.347 0.750 0.791 S
```

The formation energy (no corrections) is -2.057 eV/atom.


Entry 3:
Below is a relaxed structure of LaHf3S, with properties calculated at the GGA-PBEsol level.

Structure (POSCAR):
```
LaHf3S
1.0
4.878 0.000 0.000
0.000 4.878 0.000
0.000 0.000 4.878
S Hf La
1 3 1
direct
0.000 0.000 0.000 S
0.000 0.500 0.000 Hf
0.000 0.000 0.500 Hf
0.500 0.000 0.000 Hf
0.500 0.500 0.500 La
```

The formation energy (no corrections) is -0.379 eV/atom.


Entry 4:
Below is a relaxed structure of LaHfTeS2, with properties calculated at the GGA-PBEsol level.

Structure (POSCAR):
```
LaHfTeS2
1.0
-0.131 4.484 1.495
-1.446 -1.462 4.258
6.607 -0.499 2.073
S Te Hf La
2 1 1 1
direct
0.000 0.500 0.000 S
0.500 0.000 0.000 S
0.500 0.500 0.500 Te
0.000 0.000 0.000 Hf
0.000 0.000 0.500 La
```

The formation energy (no corrections) is -0.760 eV/atom.


Entry 5:
Below is a relaxed structure of LaHf3Sb, with properties calculated at the GGA-PBEsol level.

Structure (POSCAR):
```
LaHf3Sb
1.0
5.082 0.000 0.000
0.000 5.082 0.000
0.000 0.000 5.082
Sb Hf La
1 3 1
direct
0.500 0.500 0.500 Sb
0.000 0.500 0.000 Hf
0.000 0.000 0.500 Hf
0.500 0.000 0.000 Hf
0.000 0.000 0.000 La
```

The formation energy (no corrections) is 1.412 eV/atom.


Entry 6:
Below is a relaxed structure of La3HfSb5, with properties calculated at the GGA-PBEsol level.

Structure (POSCAR):
```
La3HfSb5
1.0
-2.728 2.245 -5.200
4.967 -6.147 -5.259
-8.513 -2.460 3.403
La Hf Sb
6 2 10
direct
0.250 0.000 0.383 La
0.750 0.383 0.383 La
0.750 0.000 0.617 La
0.250 0.617 0.617 La
0.250 0.383 0.000 La
0.750 0.617 0.000 La
0.500 0.000 0.000 Hf
0.000 0.000 0.000 Hf
0.000 0.333 0.667 Sb
0.500 0.667 0.333 Sb
0.000 0.667 0.333 Sb
0.500 0.333 0.667 Sb
0.750 0.000 0.259 Sb
0.250 0.259 0.259 Sb
0.250 0.741 0.000 Sb
0.750 0.259 0.000 Sb
0.250 0.000 0.741 Sb
0.750 0.741 0.741 Sb
```

The formation energy (no corrections) is -1.072 eV/atom.


Entry 7:
Below is a relaxed structure of La3HfSc, with properties calculated at the GGA-PBEsol level.

Structure (POSCAR):
```
La3HfSc
1.0
5.457 0.000 0.000
0.000 5.457 0.000
0.000 0.000 5.457
Sc Hf La
1 1 3
direct
0.000 0.000 0.000 Sc
0.500 0.500 0.500 Hf
0.000 0.500 0.000 La
0.000 0.000 0.500 La
0.500 0.000 0.000 La
```

The calculation puts the uncorrected energy at -5.643 eV/atom.


Entry 8:
Below is a relaxed structure of LaHf3Sn, with properties calculated at the GGA-PBEsol level.

Structure (POSCAR):
```
LaHf3Sn
1.0
5.283 0.000 0.000
0.000 5.283 0.000
0.000 0.000 5.283
Hf Sn La
3 1 1
direct
0.000 0.500 0.000 Hf
0.000 0.000 0.500 Hf
0.500 0.000 0.000 Hf
0.000 0.000 0.000 Sn
0.500 0.500 0.500 La
```

The calculation puts the uncorrected energy at -7.401 eV/atom.


Which formula does entry 3 have?
LaHf3S


Repeat the second record exactly.
Below is a relaxed structure of La2HfS5, with properties calculated at the GGA-PBEsol level.

Structure (POSCAR):
```
La2HfS5
1.0
-6.585 0.774 3.015
1.145 -6.868 4.265
4.547 5.971 8.395
La Hf S
8 4 20
direct
0.434 0.002 0.330 La
0.066 0.498 0.830 La
0.566 0.502 0.670 La
0.934 0.998 0.170 La
0.566 0.998 0.670 La
0.934 0.502 0.170 La
0.434 0.498 0.330 La
0.066 0.002 0.830 La
0.928 0.250 0.490 Hf
0.572 0.250 0.990 Hf
0.072 0.750 0.510 Hf
0.428 0.750 0.010 Hf
0.181 0.464 0.569 S
0.319 0.036 0.069 S
0.819 0.964 0.431 S
0.681 0.536 0.931 S
0.819 0.536 0.431 S
0.681 0.964 0.931 S
0.181 0.036 0.569 S
0.319 0.464 0.069 S
0.135 0.250 0.305 S
0.365 0.250 0.805 S
0.865 0.750 0.695 S
0.635 0.750 0.195 S
0.561 0.250 0.495 S
0.939 0.250 0.995 S
0.439 0.750 0.505 S
0.061 0.750 0.005 S
0.847 0.250 0.709 S
0.653 0.250 0.209 S
0.153 0.750 0.291 S
0.347 0.750 0.791 S
```

The formation energy (no corrections) is -2.057 eV/atom.